(1)
DFT (PBE) results for a relaxed structure of Ba2Pt3RhO12.

Geometry as CIF:
```
data_Ba2Pt3RhO12
_space_group_name_H-M_alt 'R -3 m'
_space_group_IT_number 166
_space_group_name_Hall '-R 3 2"'
_cell_length_a 7.1564
_cell_length_b 7.1564
_cell_length_c 17.5511
_cell_angle_alpha 90.00
_cell_angle_beta 90.00
_cell_angle_gamma 120.00
loop_
_atom_site_label
_atom_site_fract_x
_atom_site_fract_y
_atom_site_fract_z
_atom_site_occupancy
Ba1 0.0000 0.0000 0.1476 1
Pt1 0.0000 0.5000 0.0000 1
Rh1 0.0000 0.0000 0.5000 1
O1 0.0645 0.5322 0.1100 1
O2 0.0653 0.5327 0.3696 1
```

Results
Formation energy without anion corrections: -18.2 eV/f.u.
VASP energy: -320.93 eV for the cell shown
Magnetization: 1.04 μB/f.u.

=====

(2)
DFT (PBE) results for a relaxed structure of Ac2PIr.

Geometry as CIF:
```
data_Ac2PIr
_space_group_name_H-M_alt 'R -3 m'
_space_group_IT_number 166
_space_group_name_Hall '-R 3 2"'
_cell_length_a 4.4026
_cell_length_b 4.4026
_cell_length_c 21.3419
_cell_angle_alpha 90.00
_cell_angle_beta 90.00
_cell_angle_gamma 120.00
loop_
_atom_site_label
_atom_site_fract_x
_atom_site_fract_y
_atom_site_fract_z
_atom_site_occupancy
Ac1 0.0000 0.0000 0.2473 1
P1 0.0000 0.0000 0.0000 1
Ir1 0.0000 0.0000 0.5000 1
```

Results
Formation energy: -0.924 eV per atom
VASP energy: -78.55 eV for the cell shown
Magnetization: 0.00 μB/f.u.

=====

(3)
DFT (PBE) results for a relaxed structure of InCoBr.

Geometry as CIF:
```
data_InCoBr
_space_group_name_H-M_alt 'P 3 m 1'
_space_group_IT_number 156
_cell_length_a 3.6350
_cell_length_b 3.6350
_cell_length_c 5.7954
_cell_angle_alpha 90.00
_cell_angle_beta 90.00
_cell_angle_gamma 120.00
loop_
_space_group_symop_operation_xyz
'x,y,z'
'-y,x-y,z'
'-x+y,-x,z'
'-y,-x,z'
'-x+y,y,z'
'x,x-y,z'
loop_
_atom_site_label
_atom_site_fract_x
_atom_site_fract_y
_atom_site_fract_z
_atom_site_occupancy
In1 0.0000 0.0000 0.0000 1
Co1 0.3333 0.6667 0.7165 1
Br1 0.6667 0.3333 0.4882 1
```

Results
Formation energy without anion corrections: 0.5 eV/f.u.
VASP energy: -11.00 eV for the cell shown
Magnetization: 1.62 μB/f.u.

=====

(4)
DFT (PBE) results for a relaxed structure of Ba2NdGeTe5.

Geometry as CIF:
```
data_Ba2NdGeTe5
_space_group_name_H-M_alt 'C m c 21'
_space_group_IT_number 36
_cell_length_a 4.7867
_cell_length_b 20.5514
_cell_length_c 13.8389
_cell_angle_alpha 90.00
_cell_angle_beta 90.00
_cell_angle_gamma 90.00
loop_
_space_group_symop_operation_xyz
'x,y,z'
'-x,-y,z+1/2'
'-x,y,z'
'x,-y,z+1/2'
'x+1/2,y+1/2,z'
'-x+1/2,-y+1/2,z+1/2'
'-x+1/2,y+1/2,z'
'x+1/2,-y+1/2,z+1/2'
loop_
_atom_site_label
_atom_site_fract_x
_atom_site_fract_y
_atom_site_fract_z
_atom_site_occupancy
Ba1 0.0000 0.1188 0.0000 1
Ba2 0.0000 0.1208 0.6358 1
Nd1 0.0000 0.2073 0.3380 1
Ge1 0.0000 0.4402 0.7547 1
Te1 0.0000 0.0455 0.3513 1
Te2 0.0000 0.2948 0.9876 1
Te3 0.0000 0.3162 0.6802 1
Te4 0.0000 0.3567 0.3189 1
Te5 0.0000 0.4992 0.5826 1
```

Results
Formation energy without anion corrections: -11.0 eV/f.u.
VASP energy: -159.69 eV for the cell shown
Magnetization: 0.00 μB/f.u.

=====

Among the records above, which one has the highest magnetization?
InCoBr

=====

VASP energy of number 3 (InCoBr)?
-11.00 eV for the cell shown